# 1
Compound: Ba7C
Source: Alexandria via LeMat-Bulk
Functional: PBE
Structure: optimized geometry

Values from the calculation:
ΔH_f (0 K): 0.779 eV/atom

Structure (CIF):
```
data_Ba7C
_chemical_formula_sum 'Ba7 C1'
_cell_length_a 8.338
_cell_length_b 8.338
_cell_length_c 8.338
_cell_angle_alpha 60.00
_cell_angle_beta 60.00
_cell_angle_gamma 60.00
_symmetry_space_group_name_H-M 'P 1'
_symmetry_Int_Tables_number 1
loop_
_symmetry_equiv_pos_as_xyz
'x,y,z'
loop_
_atom_site_label
_atom_site_type_symbol
_atom_site_fract_x
_atom_site_fract_y
_atom_site_fract_z
_atom_site_occupancy
Ba1 Ba 0.000 0.000 0.000 1
Ba2 Ba 0.000 0.000 0.500 1
Ba3 Ba 0.000 0.500 0.000 1
Ba4 Ba 0.000 0.500 0.500 1
Ba5 Ba 0.500 0.000 0.000 1
Ba6 Ba 0.500 0.000 0.500 1
Ba7 Ba 0.500 0.500 0.000 1
C1 C 0.500 0.500 0.500 1
```

# 2
Compound: TlCrPb
Source: Alexandria via LeMat-Bulk
Functional: PBE
Structure: optimized geometry

Values from the calculation:
ΔH_f (0 K): 0.524 eV/atom

Structure (CIF):
```
data_TlCrPb
_chemical_formula_sum 'Tl1 Cr1 Pb1'
_cell_length_a 3.506
_cell_length_b 3.506
_cell_length_c 7.215
_cell_angle_alpha 90.00
_cell_angle_beta 90.00
_cell_angle_gamma 120.00
_symmetry_space_group_name_H-M 'P 1'
_symmetry_Int_Tables_number 1
loop_
_symmetry_equiv_pos_as_xyz
'x,y,z'
loop_
_atom_site_label
_atom_site_type_symbol
_atom_site_fract_x
_atom_site_fract_y
_atom_site_fract_z
_atom_site_occupancy
Tl1 Tl 0.000 0.000 0.000 1
Cr1 Cr 0.667 0.333 0.306 1
Pb1 Pb 0.333 0.667 0.613 1
```

# 3
Compound: YAlCu
Source: Alexandria via LeMat-Bulk
Functional: PBE
Structure: optimized geometry

Values from the calculation:
ΔH_f (0 K): -0.256 eV/atom

Structure (CIF):
```
data_YAlCu
_chemical_formula_sum 'Y1 Al1 Cu1'
_cell_length_a 4.498
_cell_length_b 4.498
_cell_length_c 4.498
_cell_angle_alpha 60.00
_cell_angle_beta 60.00
_cell_angle_gamma 60.00
_symmetry_space_group_name_H-M 'P 1'
_symmetry_Int_Tables_number 1
loop_
_symmetry_equiv_pos_as_xyz
'x,y,z'
loop_
_atom_site_label
_atom_site_type_symbol
_atom_site_fract_x
_atom_site_fract_y
_atom_site_fract_z
_atom_site_occupancy
Y1 Y 0.000 0.000 0.000 1
Al1 Al 0.500 0.500 0.500 1
Cu1 Cu 0.750 0.750 0.750 1
```

# 4
Compound: SrCu2Br
Source: Alexandria via LeMat-Bulk
Functional: PBE
Structure: optimized geometry

Values from the calculation:
E_form (uncorrected): -0.18 eV per atom

Structure (CIF):
```
data_SrCu2Br
_chemical_formula_sum 'Sr1 Cu2 Br1'
_cell_length_a 4.139
_cell_length_b 4.151
_cell_length_c 5.612
_cell_angle_alpha 90.00
_cell_angle_beta 90.00
_cell_angle_gamma 90.00
_symmetry_space_group_name_H-M 'P 1'
_symmetry_Int_Tables_number 1
loop_
_symmetry_equiv_pos_as_xyz
'x,y,z'
loop_
_atom_site_label
_atom_site_type_symbol
_atom_site_fract_x
_atom_site_fract_y
_atom_site_fract_z
_atom_site_occupancy
Sr1 Sr 0.000 0.000 0.000 1
Cu1 Cu 0.000 0.500 0.500 1
Cu2 Cu 0.500 0.000 0.500 1
Br1 Br 0.500 0.500 0.000 1
```